1.
{
  "formula": "Cs3CeNd3Te8",
  "functional": "PBE",
  "state": "optimized geometry",
  "e_tot_ev_per_fu": -68.50,
  "e_form_raw_ev_per_atom": -1.37,
  "lattice_angstrom": [[-4.6464, 2.8573, 7.4265], [2.5039, -8.8363, -0.7503], [7.7462, 6.8124, 2.2254]],
  "species": ["Te", "Nd", "Nd", "Te", "Te", "Cs", "Te", "Cs", "Ce", "Te", "Nd", "Cs", "Te", "Te", "Te"],
  "frac_coords": [[0.7369, 0.9634, 0.6899], [0.5000, 0.5000, 0.5000], [0.0000, 0.5000, 0.5000], [0.2266, 0.4531, 0.6899], [0.2631, 0.0366, 0.3101], [0.5000, 0.5000, 0.0000], [0.7734, 0.5469, 0.3101], [0.0000, 0.0000, 0.0000], [0.0000, 0.0000, 0.5000], [0.7317, 0.4634, 0.6950], [0.5000, 0.0000, 0.5000], [0.0000, 0.5000, 0.0000], [0.2683, 0.5366, 0.3050], [0.7734, 0.0366, 0.3101], [0.2266, 0.9634, 0.6899]]
}

2.
{
  "formula": "Cs3Ce2NdTe6",
  "functional": "PBE",
  "state": "optimized geometry",
  "e_tot_ev_per_fu": -54.46,
  "e_form_raw_ev_per_atom": -1.37,
  "lattice_angstrom": [[-6.1596, 0.1712, 5.3485], [0.4983, -6.0462, -5.4563], [6.7450, -2.8282, 5.7837]],
  "species": ["Ce", "Cs", "Cs", "Te", "Te", "Te", "Nd", "Te", "Cs", "Te", "Ce", "Te"],
  "frac_coords": [[0.3333, 0.6667, 0.0000], [0.1664, 0.8336, 0.5000], [0.8336, 0.1664, 0.5000], [0.9352, 0.6027, 0.8057], [0.3973, 0.0648, 0.1943], [0.7322, 0.7322, 0.1942], [0.0000, 0.0000, 0.0000], [0.2678, 0.2678, 0.8058], [0.5000, 0.5000, 0.5000], [0.0648, 0.3973, 0.1943], [0.6667, 0.3333, 0.0000], [0.6027, 0.9352, 0.8057]]
}

3.
{
  "formula": "Cs3CeNd2Te6",
  "functional": "PBE",
  "state": "optimized geometry",
  "e_tot_ev_per_fu": -53.54,
  "e_form_raw_ev_per_atom": -1.39,
  "lattice_angstrom": [[8.1338, -0.0011, 0.0005], [-4.0658, 7.0447, 0.0005], [-1.3563, -2.3484, 8.9421]],
  "species": ["Te", "Cs", "Te", "Te", "Ce", "Cs", "Cs", "Te", "Nd", "Te", "Nd", "Te"],
  "frac_coords": [[0.9352, 0.6006, 0.8055], [0.1669, 0.8331, 0.5000], [0.7303, 0.7303, 0.1947], [0.3994, 0.0648, 0.1945], [0.0000, 0.0000, 0.0000], [0.8331, 0.1669, 0.5000], [0.5000, 0.5000, 0.5000], [0.2697, 0.2697, 0.8053], [0.6666, 0.3334, 0.0000], [0.6006, 0.9352, 0.8055], [0.3334, 0.6666, 0.0000], [0.0648, 0.3994, 0.1945]]
}

4.
{
  "formula": "CsCeNiS4",
  "functional": "PBE",
  "state": "optimized geometry",
  "e_tot_ev_per_fu": -36.79,
  "e_form_raw_ev_per_atom": -1.10,
  "lattice_angstrom": [[6.7867, 0.0000, 0.0754], [0.0000, 5.7115, 0.0000], [-2.5288, 0.0000, 9.3390]],
  "species": ["S", "S", "Ni", "Ce", "S", "S", "Cs", "S", "S", "S", "Cs", "Ni", "S", "Ce"],
  "frac_coords": [[0.0065, 0.9895, 0.6928], [0.3999, 0.7500, 0.5634], [0.7648, 0.2500, 0.6635], [0.2614, 0.2500, 0.5492], [0.5465, 0.2500, 0.7969], [0.9935, 0.4895, 0.3072], [0.2471, 0.2500, 0.0440], [0.9935, 0.0105, 0.3072], [0.6001, 0.2500, 0.4366], [0.4535, 0.7500, 0.2031], [0.7529, 0.7500, 0.9560], [0.2352, 0.7500, 0.3365], [0.0065, 0.5105, 0.6928], [0.7386, 0.7500, 0.4508]]
}

5.
{
  "formula": "CsCe2Ni2S6",
  "functional": "PBE",
  "state": "optimized geometry",
  "e_tot_ev_per_fu": -60.91,
  "e_form_raw_ev_per_atom": -1.08,
  "lattice_angstrom": [[7.4106, 0.0048, 0.0029], [3.7026, 6.7229, -0.5010], [-0.0016, -4.2496, 6.6952]],
  "species": ["Cs", "Ni", "S", "Ce", "S", "S", "Ni", "S", "S", "Ce", "S"],
  "frac_coords": [[0.5000, 0.0000, 0.5000], [0.1085, 0.7832, 0.8272], [0.5940, 0.3378, 0.0974], [0.1707, 0.6586, 0.1673], [0.4060, 0.6622, 0.9026], [0.0675, 0.3385, 0.0980], [0.8915, 0.2168, 0.1728], [0.9167, 0.1664, 0.4160], [0.0833, 0.8336, 0.5840], [0.8293, 0.3414, 0.8327], [0.9325, 0.6615, 0.9020]]
}

6.
{
  "formula": "CsCe4Ni3S12",
  "functional": "PBE",
  "state": "optimized geometry",
  "e_tot_ev_per_fu": -112.83,
  "e_form_raw_ev_per_atom": -1.07,
  "lattice_angstrom": [[8.5124, 0.0000, 0.0000], [-2.8375, 8.0256, 0.0000], [-2.8375, -4.0128, 6.9503]],
  "species": ["Ce", "S", "Ce", "S", "Ce", "S", "Ni", "S", "Ni", "S", "Cs", "S", "S", "S", "S", "Ni", "S", "Ce", "S", "S"],
  "frac_coords": [[0.0000, 0.0000, 0.5000], [0.3352, 0.8441, 0.1794], [0.0000, 0.5000, 0.0000], [0.1559, 0.8206, 0.6648], [0.5000, 0.5000, 0.5000], [0.6648, 0.8441, 0.5089], [0.0000, 0.5000, 0.5000], [0.1794, 0.3352, 0.8441], [0.5000, 0.5000, 0.0000], [0.8441, 0.5089, 0.6648], [0.0000, 0.0000, 0.0000], [0.4911, 0.3352, 0.1559], [0.3352, 0.1559, 0.4911], [0.1559, 0.4911, 0.3352], [0.5089, 0.6648, 0.8441], [0.5000, 0.0000, 0.5000], [0.8206, 0.6648, 0.1559], [0.5000, 0.0000, 0.0000], [0.8441, 0.1794, 0.3352], [0.6648, 0.1559, 0.8206]]
}

7.
{
  "formula": "CsCe2NiS5",
  "functional": "PBE",
  "state": "optimized geometry",
  "e_tot_ev_per_fu": -52.14,
  "e_form_raw_ev_per_atom": -1.44,
  "lattice_angstrom": [[-3.6739, -0.7593, 2.4322], [1.9068, -6.8291, 0.7484], [4.2764, 5.3567, 4.0224]],
  "species": ["S", "S", "S", "S", "Ce", "Cs", "S", "Ce", "Ni"],
  "frac_coords": [[0.0000, 0.0000, 0.0000], [0.3509, 0.0814, 0.7018], [0.6491, 0.3796, 0.2982], [0.6491, 0.9186, 0.2982], [0.8004, 0.8004, 0.6009], [0.0000, 0.5000, 0.0000], [0.3509, 0.6204, 0.7018], [0.1996, 0.1996, 0.3991], [0.5000, 0.0000, 0.0000]]
}

8.
{
  "formula": "Cs2Ce2NiS6",
  "functional": "PBE",
  "state": "optimized geometry",
  "e_tot_ev_per_fu": -58.36,
  "e_form_raw_ev_per_atom": -1.29,
  "lattice_angstrom": [[6.8086, 0.0106, 0.0608], [-3.3560, 5.9241, 0.0608], [-1.2303, -2.1148, 8.1685]],
  "species": ["Ce", "S", "S", "Cs", "S", "S", "S", "Ni", "Ce", "S", "Cs"],
  "frac_coords": [[0.6669, 0.3331, 0.5000], [0.7516, 0.7516, 0.6677], [0.9412, 0.6291, 0.3278], [0.8322, 0.1678, 0.0000], [0.3709, 0.0588, 0.6722], [0.0588, 0.3709, 0.6722], [0.6291, 0.9412, 0.3278], [0.0000, 0.0000, 0.5000], [0.3331, 0.6669, 0.5000], [0.2484, 0.2484, 0.3323], [0.1678, 0.8322, 0.0000]]
}

9.
{
  "formula": "Cs2CeNiS4",
  "functional": "PBE",
  "state": "optimized geometry",
  "e_tot_ev_per_fu": -38.27,
  "e_form_raw_ev_per_atom": -1.04,
  "lattice_angstrom": [[6.2645, 0.0000, 0.0000], [3.1323, 7.1944, 0.0000], [3.1323, 0.0000, 12.9836]],
  "species": ["Ni", "S", "Cs", "S", "Cs", "Ce", "S", "S", "Ni", "S", "Cs", "S", "Cs", "S", "S", "Ce"],
  "frac_coords": [[0.5000, 0.0000, 0.0000], [0.5694, 0.1883, 0.0956], [0.5705, 0.5000, 0.8591], [0.4150, 0.6883, 0.4044], [0.8205, 0.0000, 0.3591], [0.7500, 0.5000, 0.5000], [0.3350, 0.8117, 0.0956], [0.5077, 0.3117, 0.5956], [0.2500, 0.5000, 0.5000], [0.1806, 0.3117, 0.4044], [0.1795, 0.0000, 0.6409], [0.8533, 0.8117, 0.9044], [0.9295, 0.5000, 0.1409], [0.8967, 0.6883, 0.5956], [0.2423, 0.1883, 0.9044], [0.0000, 0.0000, 0.0000]]
}

10.
{
  "formula": "CsCe2NiS4",
  "functional": "PBE",
  "state": "optimized geometry",
  "e_tot_ev_per_fu": -47.80,
  "e_form_raw_ev_per_atom": -1.60,
  "lattice_angstrom": [[4.0424, 0.0000, 0.0000], [-2.0212, 7.2221, 0.0000], [0.0000, 0.0000, 13.7430]],
  "species": ["Ce", "S", "Ni", "Cs", "Ni", "S", "S", "Ce", "Ce", "S", "S", "S", "S", "S", "Cs", "Ce"],
  "frac_coords": [[0.6353, 0.2707, 0.0600], [0.5894, 0.1788, 0.2500], [0.1695, 0.3391, 0.2500], [0.9007, 0.8015, 0.2500], [0.8305, 0.6609, 0.7500], [0.4106, 0.8212, 0.7500], [0.0000, 0.0000, 0.5000], [0.6353, 0.2707, 0.4400], [0.3647, 0.7293, 0.5600], [0.7434, 0.4869, 0.8884], [0.0000, 0.0000, 0.0000], [0.2566, 0.5131, 0.3884], [0.2566, 0.5131, 0.1116], [0.7434, 0.4869, 0.6116], [0.0993, 0.1985, 0.7500], [0.3647, 0.7293, 0.9400]]
}

11.
{
  "formula": "Cs2CeNi2S4",
  "functional": "PBE",
  "state": "optimized geometry",
  "e_tot_ev_per_fu": -45.85,
  "e_form_raw_ev_per_atom": -1.13,
  "lattice_angstrom": [[3.9777, 0.0000, 0.0000], [-1.9889, 7.3287, 0.0028], [0.0000, -2.5403, 7.7312]],
  "species": ["Cs", "S", "S", "Ni", "Cs", "Ce", "Ni", "S", "S"],
  "frac_coords": [[0.1393, 0.2787, 0.5613], [0.4716, 0.9433, 0.2130], [0.1987, 0.3974, 0.1372], [0.3148, 0.6295, 0.0082], [0.8607, 0.7213, 0.4387], [0.0000, 0.0000, 0.0000], [0.6852, 0.3705, 0.9918], [0.5284, 0.0567, 0.7870], [0.8013, 0.6026, 0.8628]]
}

12.
{
  "formula": "Cs2CeNi2Se4",
  "functional": "PBE",
  "state": "optimized geometry",
  "e_tot_ev_per_fu": -42.42,
  "e_form_raw_ev_per_atom": -1.03,
  "lattice_angstrom": [[-0.5291, -0.1961, -4.0765], [6.5869, -4.0794, 1.4187], [-6.5627, -5.2932, 1.1064]],
  "species": ["Ni", "Se", "Se", "Ce", "Cs", "Ni", "Cs", "Se", "Se"],
  "frac_coords": [[0.6850, 0.3699, 0.9899], [0.5276, 0.0552, 0.7821], [0.1995, 0.3990, 0.1481], [0.0000, 0.0000, 0.0000], [0.8622, 0.7245, 0.4411], [0.3150, 0.6301, 0.0101], [0.1378, 0.2755, 0.5589], [0.4724, 0.9448, 0.2179], [0.8005, 0.6010, 0.8519]]
}